Entry 1:
Here is a geometry-optimized La7Sm2Er2 structure from the Alexandria database. Energies are from PBE-GGA.

Properties
Energy relative to the lowest polymorph listed for this composition, kJ/mol of formula units: 0
Energy of formation, eV/atom: 0.09
Uncorrected energy, eV per atom: -4.731
M_tot, μB/atom: 0.0000

Cell: 6.7659 6.7659 8.8509 Å, 97.95 97.95 92.44°
Last column: nearest neighbours and their distance in Å.
Element x y z (fractional)
La1 0.0000 0.0000 0.0000  2 Er 3.66, 10 La 3.68-3.95
La2 0.0876 0.4560 0.8033  3 Er 3.51-3.56, 2 Sm 3.57-3.75, 5 La 3.60-3.83
La3 0.1559 0.1559 0.4161  6 La 3.53-3.83, 1 Er 3.55, 4 Sm 3.60-3.61
La4 0.4560 0.0876 0.8033  3 Er 3.51-3.56, 2 Sm 3.57-3.75, 5 La 3.60-3.83
La5 0.5440 0.9124 0.1967  3 Er 3.51-3.56, 2 Sm 3.57-3.75, 5 La 3.60-3.83
La6 0.8441 0.8441 0.5839  6 La 3.53-3.83, 1 Er 3.55, 4 Sm 3.60-3.61
La7 0.9124 0.5440 0.1967  3 Er 3.51-3.56, 2 Sm 3.57-3.75, 5 La 3.60-3.83
Sm1 0.3226 0.6774 0.5000  1 Sm 3.47, 2 Er 3.52, 8 La 3.57-3.75
Sm2 0.6774 0.3226 0.5000  1 Sm 3.47, 2 Er 3.52, 8 La 3.57-3.75
Er1 0.3935 0.3935 0.1495  8 La 3.51-3.66, 2 Sm 3.52, 1 Er 3.62
Er2 0.6065 0.6065 0.8505  8 La 3.51-3.66, 2 Sm 3.52, 1 Er 3.62

---

Entry 2:
Here is a geometry-optimized LaSmEr2 structure from the Alexandria database. Energies are from PBE-GGA.

Properties
Energy relative to the lowest polymorph listed for this composition, kJ/mol of formula units: 0
Energy of formation, eV/atom: 0.02
Uncorrected energy, eV per atom: -4.676
M_tot, μB/atom: 0.0000

Cell: 11.8017 11.8017 11.8017 Å, 17.58 17.58 17.58°
Last column: nearest neighbours and their distance in Å.
Element x y z (fractional)
La1 0.0000 0.0000 0.0000  6 Er 3.60, 6 La 3.61
Sm1 0.5000 0.5000 0.5000  6 Er 3.54, 6 Sm 3.61
Er1 0.2489 0.2489 0.2489  3 Sm 3.54, 3 La 3.60, 6 Er 3.61
Er2 0.7511 0.7511 0.7511  3 Sm 3.54, 3 La 3.60, 6 Er 3.61

---

Entry 3:
Here is a geometry-optimized La3Sm4Er4 structure from the Alexandria database. Energies are from PBE-GGA.

Properties
Energy relative to the lowest polymorph listed for this composition, kJ/mol of formula units: 0
Energy of formation, eV/atom: 0.14
Uncorrected energy, eV per atom: -4.581
M_tot, μB/atom: 0.0000

Cell: 12.1547 12.1547 12.1547 Å, 162.82 134.11 49.35°
Last column: nearest neighbours and their distance in Å.
Element x y z (fractional)
La1 0.0000 0.0000 0.0000  4 Er 3.52, 2 La 3.63
La2 0.3906 0.8906 0.5000  6 Er 3.45-3.48, 2 La 3.63, 4 Sm 3.64
La3 0.6094 0.1094 0.5000  6 Er 3.45-3.48, 2 La 3.63, 4 Sm 3.64
Sm1 0.0314 0.3522 0.6792  3 Sm 3.40-3.63, 4 Er 3.47-3.69, 2 La 3.64
Sm2 0.3270 0.6478 0.6792  3 Sm 3.40-3.63, 4 Er 3.47-3.69, 2 La 3.64
Sm3 0.6730 0.3522 0.3208  3 Sm 3.40-3.63, 4 Er 3.47-3.69, 2 La 3.64
Sm4 0.9686 0.6478 0.3208  3 Sm 3.40-3.63, 4 Er 3.47-3.69, 2 La 3.64
Er1 0.2577 0.2577 0.0000  2 La 3.45, 6 Sm 3.47-3.69, 2 Er 3.63
Er2 0.3181 0.5000 0.8181  3 Er 3.45-3.63, 6 La 3.48-3.52, 2 Sm 3.52
Er3 0.6819 0.5000 0.1819  3 Er 3.45-3.63, 6 La 3.48-3.52, 2 Sm 3.52
Er4 0.7423 0.7423 0.0000  2 La 3.45, 6 Sm 3.47-3.69, 2 Er 3.63

---

Entry 4:
Here is a geometry-optimized La4Sm10Er structure from the Alexandria database. Energies are from PBE-GGA.

Properties
Energy of formation, eV/atom: 0.32
Uncorrected energy, eV per atom: -4.441
M_tot, μB/atom: 0.0000

Cell: 8.8386 8.8386 8.8386 Å, 111.29 111.29 105.89°
Last column: nearest neighbours and their distance in Å.
Element x y z (fractional)
La1 0.0597 0.3299 0.3897  2 Sm 3.21, 1 Er 3.34, 1 La 3.60
La2 0.3299 0.9403 0.2702  2 Sm 3.21, 1 Er 3.34, 1 La 3.60
La3 0.6701 0.0597 0.7298  2 Sm 3.21, 1 Er 3.34, 1 La 3.60
La4 0.9403 0.6701 0.6103  2 Sm 3.21, 1 Er 3.34, 1 La 3.60
Sm1 0.1318 0.4525 0.9081  5 Sm 3.28-3.45
Sm2 0.2237 0.1318 0.6794  5 Sm 3.28-3.45
Sm3 0.2500 0.7500 0.5000  4 La 3.21, 4 Sm 3.28
Sm4 0.4525 0.5443 0.3206  5 Sm 3.28-3.45
Sm5 0.4557 0.7763 0.9081  5 Sm 3.28-3.45
Sm6 0.5443 0.2237 0.0919  5 Sm 3.28-3.45
Sm7 0.5475 0.4557 0.6794  5 Sm 3.28-3.45
Sm8 0.7500 0.2500 0.5000  4 La 3.21, 4 Sm 3.28
Sm9 0.7763 0.8682 0.3206  5 Sm 3.28-3.45
Sm10 0.8682 0.5475 0.0919  5 Sm 3.28-3.45
Er1 0.0000 0.0000 0.0000  4 La 3.34

---

Entry 5:
Here is a geometry-optimized La2SmEr12 structure from the Alexandria database. Energies are from PBE-GGA.

Properties
Energy of formation, eV/atom: 0.32
Uncorrected energy, eV per atom: -4.300
M_tot, μB/atom: 0.0000

Cell: 6.4138 6.4138 24.9660 Å, 90.00 90.00 90.00°
Last column: nearest neighbours and their distance in Å.
Element x y z (fractional)
La1 0.2500 0.7500 0.2273  8 Er 3.52-3.64
La2 0.2500 0.7500 0.7727  8 Er 3.52-3.64
La3 0.7500 0.2500 0.2273  8 Er 3.52-3.64
La4 0.7500 0.2500 0.7727  8 Er 3.52-3.64
Sm1 0.2500 0.7500 0.5000  4 Er 3.37
Sm2 0.7500 0.2500 0.5000  4 Er 3.37
Er1 0.0642 0.5642 0.3833  7 Er 3.31-3.39, 1 Sm 3.37
Er2 0.0642 0.9358 0.6167  7 Er 3.31-3.39, 1 Sm 3.37
Er3 0.0808 0.5808 0.0598  8 Er 3.07-3.42
Er4 0.0808 0.9192 0.9402  8 Er 3.07-3.42
Er5 0.2500 0.2500 0.1581  5 Er 3.17-3.42
Er6 0.2500 0.2500 0.2851  5 Er 3.17-3.39, 4 La 3.52
Er7 0.2500 0.2500 0.7149  5 Er 3.17-3.39, 4 La 3.52
Er8 0.2500 0.2500 0.8419  5 Er 3.17-3.42
Er9 0.4192 0.5808 0.9402  8 Er 3.07-3.42
Er10 0.4192 0.9192 0.0598  8 Er 3.07-3.42
Er11 0.4358 0.5642 0.6167  7 Er 3.31-3.39, 1 Sm 3.37
Er12 0.4358 0.9358 0.3833  7 Er 3.31-3.39, 1 Sm 3.37
Er13 0.5642 0.0642 0.6167  7 Er 3.31-3.39, 1 Sm 3.37
Er14 0.5642 0.4358 0.3833  7 Er 3.31-3.39, 1 Sm 3.37
Er15 0.5808 0.0808 0.9402  8 Er 3.07-3.42
Er16 0.5808 0.4192 0.0598  8 Er 3.07-3.42
Er17 0.7500 0.7500 0.1581  5 Er 3.17-3.42
Er18 0.7500 0.7500 0.2851  5 Er 3.17-3.39, 4 La 3.52
Er19 0.7500 0.7500 0.7149  5 Er 3.17-3.39, 4 La 3.52
Er20 0.7500 0.7500 0.8419  5 Er 3.17-3.42
Er21 0.9192 0.0808 0.0598  8 Er 3.07-3.42
Er22 0.9192 0.4192 0.9402  8 Er 3.07-3.42
Er23 0.9358 0.0642 0.3833  7 Er 3.31-3.39, 1 Sm 3.37
Er24 0.9358 0.4358 0.6167  7 Er 3.31-3.39, 1 Sm 3.37

---

Entry 6:
Here is a geometry-optimized La2Sm12Er5 structure from the Alexandria database. Energies are from PBE-GGA.

Properties
Energy relative to the lowest polymorph listed for this composition, kJ/mol of formula units: 13
Energy of formation, eV/atom: 0.14
Uncorrected energy, eV per atom: -4.564
M_tot, μB/atom: 0.0001

Cell: 9.2304 9.2304 8.6725 Å, 90.69 90.69 60.81°
Last column: nearest neighbours and their distance in Å.
Element x y z (fractional)
La1 0.1799 0.8201 0.0000  1 La 3.36, 8 Sm 3.48-3.61, 2 Er 3.58
La2 0.8201 0.1799 0.0000  1 La 3.36, 8 Sm 3.48-3.61, 2 Er 3.58
Sm1 0.0643 0.0643 0.3322  2 Er 3.36-3.51, 7 Sm 3.43-3.58, 2 La 3.48
Sm2 0.0670 0.6836 0.3445  4 Er 3.42-3.76, 5 Sm 3.45-3.58, 1 La 3.61
Sm3 0.1630 0.5234 0.7597  4 Sm 3.37-3.67, 1 La 3.48, 3 Er 3.53-3.64
Sm4 0.3164 0.9330 0.6555  4 Er 3.42-3.76, 5 Sm 3.45-3.58, 1 La 3.61
Sm5 0.4074 0.4074 0.1179  3 Er 3.43-3.61, 2 La 3.49, 5 Sm 3.53-3.67
Sm6 0.4766 0.8370 0.2403  4 Sm 3.37-3.67, 1 La 3.48, 3 Er 3.53-3.64
Sm7 0.5234 0.1630 0.7597  4 Sm 3.37-3.67, 1 La 3.48, 3 Er 3.53-3.64
Sm8 0.5926 0.5926 0.8821  3 Er 3.43-3.61, 2 La 3.49, 5 Sm 3.53-3.67
Sm9 0.6836 0.0670 0.3445  4 Er 3.42-3.76, 5 Sm 3.45-3.58, 1 La 3.61
Sm10 0.8370 0.4766 0.2403  4 Sm 3.37-3.67, 1 La 3.48, 3 Er 3.53-3.64
Sm11 0.9330 0.3164 0.6555  4 Er 3.42-3.76, 5 Sm 3.45-3.58, 1 La 3.61
Sm12 0.9357 0.9357 0.6678  2 Er 3.36-3.51, 7 Sm 3.43-3.58, 2 La 3.48
Er1 0.1986 0.1986 0.0143  8 Sm 3.43-3.76, 2 La 3.58, 1 Er 3.74
Er2 0.2695 0.2695 0.4269  8 Sm 3.36-3.55, 2 Er 3.72-3.74
Er3 0.5000 0.5000 0.5000  10 Sm 3.61-3.78, 2 Er 3.72
Er4 0.7305 0.7305 0.5731  8 Sm 3.36-3.55, 2 Er 3.72-3.74
Er5 0.8014 0.8014 0.9857  8 Sm 3.43-3.76, 2 La 3.58, 1 Er 3.74